The following is a DFT calculation (PBE+U) of a relaxed structure of AgMoW2F.

As for the uncorrected energy: -2.9508 eV per atom. The magnetization comes out at 0.00 μB/atom. The density is 9.841 Mg/m³.

The structure belongs to space group P4/mmm (No. 123); the cell edges are 5.064, 5.064 and 3.885 Å and the angles 90.00°, 90.00° and 90.00°. The asymmetric unit holds Ag at (0.000, 0.000, 0.000), Mo at (0.500, 0.500, 0.500), W at (0.000, 0.500, 0.000) and F at (0.000, 0.000, 0.500).